Entry 1:
A plane-wave DFT calculation with PBE-GGA was carried out for a relaxed Nd7YHo3 crystal.

Cell: 5.916 8.588 8.588 Å, 83.03 110.19 110.19°
Fractional positions:
Nd (0.694, 0.403, 0.985)
Nd (0.790, 0.792, 0.792)
Nd (0.306, 0.597, 0.015)
Nd (0.210, 0.208, 0.208)
Nd (0.694, 0.985, 0.403)
Nd (0.306, 0.015, 0.597)
Nd (0.000, 0.500, 0.500)
Y (0.500, 0.500, 0.500)
Ho (0.000, 0.205, 0.795)
Ho (0.500, 0.000, 0.000)
Ho (0.000, 0.795, 0.205)

As for the crystal system: monoclinic. The value obtained for the density is 6.88 g cm⁻³. The energy above the most stable polymorph in this dataset is 45 meV per atom. As for the symmetry: C2/m, No. 12.

***

Entry 2:
A plane-wave DFT calculation with PBE-GGA was carried out for a relaxed Nd2Y2Ho crystal.

Cell: 6.331 8.580 6.840 Å, 102.88 90.00 111.65°
Fractional positions:
Ho (0.415, 0.000, 0.250)
Ho (0.585, 0.000, 0.750)
Nd (0.982, 0.800, 0.556)
Nd (0.018, 0.200, 0.444)
Nd (0.182, 0.200, 0.944)
Nd (0.818, 0.800, 0.056)
Y (0.382, 0.601, 0.348)
Y (0.618, 0.399, 0.652)
Y (0.781, 0.399, 0.152)
Y (0.219, 0.601, 0.848)

As for the crystal system: monoclinic. The value obtained for the density is 6.25 g cm⁻³. The energy above the most stable polymorph in this dataset is 0 meV per atom. As for the symmetry: C2/c, No. 15.

***

Entry 3:
A plane-wave DFT calculation with PBE-GGA was carried out for a relaxed Nd3Y5Ho crystal.

Cell: 8.778 8.778 9.961 Å, 116.14 116.14 90.00°
Fractional positions:
Y (0.928, 0.428, 0.275)
Y (0.572, 0.653, 0.725)
Y (0.653, 0.153, 0.725)
Y (0.153, 0.072, 0.725)
Y (0.428, 0.347, 0.275)
Y (0.000, 0.000, 0.000)
Y (0.347, 0.847, 0.275)
Y (0.072, 0.572, 0.725)
Y (0.500, 0.500, 0.000)
Y (0.847, 0.928, 0.275)
Nd (0.383, 0.883, 0.000)
Nd (0.883, 0.617, 0.000)
Nd (0.617, 0.117, 0.000)
Nd (0.117, 0.383, 0.000)
Nd (0.750, 0.750, 0.500)
Nd (0.250, 0.250, 0.500)
Ho (0.750, 0.250, 0.500)
Ho (0.250, 0.750, 0.500)

As for the crystal system: tetragonal. The value obtained for the density is 5.77 g cm⁻³. As for the symmetry: I4/mcm, No. 140.

***

Entry 4:
A plane-wave DFT calculation with PBE-GGA was carried out for a relaxed Nd7YHo3 crystal.

Cell: 10.305 10.306 12.612 Å, 114.36 65.63 139.00°
Fractional positions:
Nd (0.580, 0.917, 0.529)
Nd (0.420, 0.085, 0.972)
Nd (0.721, 0.721, 0.250)
Nd (0.917, 0.580, 0.971)
Nd (0.580, 0.915, 0.028)
Nd (0.835, 0.153, 0.773)
Nd (0.420, 0.083, 0.471)
Nd (0.847, 0.165, 0.273)
Nd (0.083, 0.420, 0.029)
Nd (0.279, 0.279, 0.750)
Nd (0.915, 0.580, 0.472)
Nd (0.153, 0.835, 0.727)
Nd (0.165, 0.847, 0.227)
Nd (0.085, 0.420, 0.528)
Ho (0.673, 0.333, 0.225)
Ho (0.327, 0.667, 0.775)
Ho (0.333, 0.673, 0.275)
Ho (0.000, 0.000, 0.000)
Ho (0.667, 0.327, 0.725)
Ho (0.000, 0.000, 0.500)
Y (0.500, 0.500, 0.000)
Y (0.500, 0.500, 0.500)

As for the crystal system: monoclinic. The value obtained for the density is 6.71 g cm⁻³. The energy above the most stable polymorph in this dataset is 0 meV per atom. As for the symmetry: C2/c, No. 15.

***

Entry 5:
A plane-wave DFT calculation with PBE-GGA was carried out for a relaxed Nd2Y2Ho3 crystal.

Cell: 3.524 8.752 8.547 Å, 115.58 101.90 90.00°
Fractional positions:
Ho (0.779, 0.353, 0.559)
Ho (0.221, 0.647, 0.441)
Ho (0.000, 0.500, 0.000)
Nd (0.920, 0.797, 0.840)
Nd (0.080, 0.203, 0.160)
Y (0.639, 0.907, 0.278)
Y (0.361, 0.093, 0.722)

As for the crystal system: monoclinic. The value obtained for the density is 6.90 g cm⁻³. The energy above the most stable polymorph in this dataset is 0 meV per atom. As for the symmetry: C2/m, No. 12.

***

Entry 6:
A plane-wave DFT calculation with PBE-GGA was carried out for a relaxed Nd4YHo2 crystal.

Cell: 8.986 8.984 8.981 Å, 134.53 99.71 97.47°
Fractional positions:
Y (0.158, 0.067, 0.908)
Y (0.092, 0.501, 0.409)
Nd (0.287, 0.053, 0.267)
Nd (0.963, 0.730, 0.266)
Nd (0.464, 0.730, 0.767)
Nd (0.376, 0.620, 0.244)
Nd (0.874, 0.053, 0.178)
Nd (0.874, 0.618, 0.744)
Nd (0.376, 0.054, 0.678)
Nd (0.786, 0.053, 0.766)
Ho (0.593, 0.501, 0.909)
Ho (0.125, 0.353, 0.728)
Ho (0.625, 0.353, 0.228)
Ho (0.657, 0.066, 0.408)

As for the crystal system: monoclinic. The value obtained for the density is 6.94 g cm⁻³. The energy above the most stable polymorph in this dataset is 118 meV per atom. As for the symmetry: C2, No. 5.

***

Record-wise raw total energy values, in eV/atom: -4.643 -5.392 -5.439 -4.688 -5.044 -4.780
Record-wise volume values, in Å³ per atom: 34.95 33.53 33.35 35.86 33.07 34.05
Record-wise ΔE_f values, in eV/f.u.: 2.497 0.081 2.249 2.005 0.887 1.229